# ZrMnCrW2

Crystalline ZrMnCrW2 at its relaxed geometry (PBE-GGA, Alexandria via LeMat-Bulk).

Formation energy (eV/f.u.): 7.732
E (eV per atom): -9.103
DOS at the Fermi energy (states/eV per cell): 7.8

Cell and atoms, written as CIF:
```
data_ZrMnCrW2
_chemical_formula_sum 'Zr1 Mn1 Cr1 W2'
_symmetry_space_group_name_H-M 'P 4/m m m'
_symmetry_Int_Tables_number 123
_symmetry_space_group_name_Hall '-P 4 2'
_cell_length_a 4.4588
_cell_length_b 4.4588
_cell_length_c 4.6878
_cell_angle_alpha 90.00
_cell_angle_beta 90.00
_cell_angle_gamma 90.00
loop_
_atom_site_label
_atom_site_type_symbol
_atom_site_fract_x
_atom_site_fract_y
_atom_site_fract_z
Zr1 Zr 0.0000 0.0000 0.0000
Mn1 Mn 0.5000 0.5000 0.0000
Cr1 Cr 0.0000 0.0000 0.5000
W1 W 0.0000 0.5000 0.5000
```